# 1
Material: CsTl2SnI5
Method: DFT, PBE
State: optimized geometry

Volume: 458.33 Å³/f.u.
Energy relative to the elements, uncorrected: -0.776 eV/atom
Theoretical density: 4.691 g/cm³
Total DFT energy (no corrections): -2.703 eV/atom
Fermi-level density of states: 0.00 states/eV/f.u.

CIF file:
```
data_CsTl2SnI5
_cell_length_a 4.786
_cell_length_b 10.566
_cell_length_c 18.610
_cell_angle_alpha 90.00
_cell_angle_beta 90.00
_cell_angle_gamma 103.09
_space_group_name_H-M_alt 'P 1'
_space_group_IT_number 1
loop_
_space_group_symop_operation_xyz
'x,y,z'
loop_
_atom_site_label
_atom_site_fract_x
_atom_site_fract_y
_atom_site_fract_z
I1 0.118 0.236 0.068
I2 0.882 0.764 0.568
Sn1 0.724 0.449 0.547
Cs1 0.579 0.159 0.917
Tl1 0.161 0.322 0.249
Cs2 0.421 0.841 0.417
I3 0.215 0.429 0.669
I4 0.425 0.849 0.026
Sn2 0.276 0.551 0.047
I5 0.785 0.571 0.169
I6 0.544 0.087 0.267
I7 0.765 0.530 0.931
I8 0.575 0.151 0.526
Tl2 0.839 0.678 0.749
Tl3 0.967 0.934 0.150
I9 0.235 0.470 0.431
Tl4 0.033 0.066 0.650
I10 0.456 0.913 0.767
```

***

# 2
Material: FeCuOs2
Method: DFT, PBE
State: optimized geometry

Volume: 51.95 Å³/f.u.
Theoretical density: 15.978 g/cm³
Energy above the lowest structure with this stoichiometry: 0.115 eV per atom
Calculated formation energy: 1.3 eV per formula unit
Total DFT energy (no corrections): -8.437 eV/atom
Fermi-level density of states: 4.01 states/eV/f.u.

CIF file:
```
data_FeCuOs2
_cell_length_a 2.648
_cell_length_b 2.648
_cell_length_c 7.408
_cell_angle_alpha 90.00
_cell_angle_beta 90.00
_cell_angle_gamma 90.00
_space_group_name_H-M_alt 'P 1'
_space_group_IT_number 1
loop_
_space_group_symop_operation_xyz
'x,y,z'
loop_
_atom_site_label
_atom_site_fract_x
_atom_site_fract_y
_atom_site_fract_z
Os1 0.000 0.000 0.989
Cu1 0.500 0.500 0.250
Fe1 0.500 0.500 0.750
Os2 0.000 0.000 0.511
```

***

# 3
Material: AlZn2Co
Method: DFT, PBE
State: optimized geometry

Volume: 53.87 Å³/f.u.
Theoretical density: 6.681 g/cm³
Calculated formation energy: -0.1 eV per formula unit
Total DFT energy (no corrections): -3.383 eV/atom
Fermi-level density of states: 2.20 states/eV/f.u.

CIF file:
```
data_AlZn2Co
_cell_length_a 5.166
_cell_length_b 5.166
_cell_length_c 2.720
_cell_angle_alpha 75.11
_cell_angle_beta 75.11
_cell_angle_gamma 120.06
_space_group_name_H-M_alt 'P 1'
_space_group_IT_number 1
loop_
_space_group_symop_operation_xyz
'x,y,z'
loop_
_atom_site_label
_atom_site_fract_x
_atom_site_fract_y
_atom_site_fract_z
Zn1 0.000 0.000 0.000
Al1 0.500 0.000 0.500
Co1 0.000 0.500 0.500
Zn2 0.500 0.500 0.000
```

***

# 4
Material: Mg4Co5
Method: DFT, PBE
State: optimized geometry

Volume: 125.58 Å³/f.u.
Theoretical density: 5.182 g/cm³
Energy above the lowest structure with this stoichiometry: 0.093 eV per atom
Calculated formation energy: 2.8 eV per formula unit
Total DFT energy (no corrections): -4.348 eV/atom
Fermi-level density of states: 13.25 states/eV/f.u.

CIF file:
```
data_Mg4Co5
_cell_length_a 7.546
_cell_length_b 7.546
_cell_length_c 5.093
_cell_angle_alpha 90.00
_cell_angle_beta 90.00
_cell_angle_gamma 120.00
_space_group_name_H-M_alt 'P 1'
_space_group_IT_number 1
loop_
_space_group_symop_operation_xyz
'x,y,z'
loop_
_atom_site_label
_atom_site_fract_x
_atom_site_fract_y
_atom_site_fract_z
Co1 0.333 0.667 0.500
Co2 0.667 0.333 0.500
Mg1 0.357 0.357 0.750
Mg2 0.643 0.643 0.250
Co3 0.667 0.333 0.000
Co4 0.333 0.667 0.000
Co5 0.679 0.000 0.250
Co6 0.000 0.321 0.750
Mg3 0.000 0.000 0.000
Co7 0.679 0.679 0.750
Co8 0.321 0.000 0.750
Mg4 0.357 0.000 0.250
Mg5 0.000 0.357 0.250
Mg6 0.000 0.643 0.750
Mg7 0.000 0.000 0.500
Mg8 0.643 0.000 0.750
Co9 0.000 0.679 0.250
Co10 0.321 0.321 0.250
```

***

# 5
Material: Sc3InO
Method: DFT, PBE
State: optimized geometry

Volume: 94.23 Å³/f.u.
Energy relative to the elements, uncorrected: -1.307 eV/atom
Theoretical density: 4.682 g/cm³
Total DFT energy (no corrections): -6.645 eV/atom
Fermi-level density of states: 3.56 states/eV/f.u.

CIF file:
```
data_Sc3InO
_cell_length_a 11.710
_cell_length_b 8.240
_cell_length_c 8.240
_cell_angle_alpha 79.06
_cell_angle_beta 123.87
_cell_angle_gamma 56.13
_space_group_name_H-M_alt 'P 1'
_space_group_IT_number 1
loop_
_space_group_symop_operation_xyz
'x,y,z'
loop_
_atom_site_label
_atom_site_fract_x
_atom_site_fract_y
_atom_site_fract_z
O1 0.750 0.189 0.689
Sc1 0.410 0.408 0.460
In1 0.439 0.843 0.021
O2 0.250 0.558 0.058
Sc2 0.411 0.663 0.720
Sc3 0.923 0.278 0.361
In2 0.061 0.521 0.343
In3 0.561 0.157 0.979
Sc4 0.077 0.722 0.639
Sc5 0.090 0.960 0.908
Sc6 0.577 0.861 0.778
In4 0.939 0.479 0.657
O3 0.750 0.442 0.942
O4 0.250 0.811 0.311
Sc7 0.911 0.780 0.837
Sc8 0.910 0.040 0.092
Sc9 0.590 0.592 0.540
Sc10 0.589 0.337 0.280
Sc11 0.423 0.139 0.222
Sc12 0.089 0.220 0.163
```

***

# 6
Material: NaCaEr2Au4
Method: DFT, PBE
State: optimized geometry

Volume: 178.76 Å³/f.u.
Theoretical density: 11.012 g/cm³
Calculated formation energy: -5.6 eV per formula unit
Total DFT energy (no corrections): -3.896 eV/atom
Fermi-level density of states: 4.57 states/eV/f.u.

CIF file:
```
data_NaCaEr2Au4
_cell_length_a 5.018
_cell_length_b 5.018
_cell_length_c 8.695
_cell_angle_alpha 73.23
_cell_angle_beta 73.23
_cell_angle_gamma 60.00
_space_group_name_H-M_alt 'P 1'
_space_group_IT_number 1
loop_
_space_group_symop_operation_xyz
'x,y,z'
loop_
_atom_site_label
_atom_site_fract_x
_atom_site_fract_y
_atom_site_fract_z
Au1 0.374 0.374 0.879
Na1 0.500 0.500 0.500
Er1 0.247 0.247 0.260
Er2 0.753 0.753 0.740
Ca1 0.000 0.000 0.000
Au2 0.877 0.877 0.370
Au3 0.626 0.626 0.121
Au4 0.123 0.123 0.630
```